No. 1
! RbGeN2, relaxed, DFT PBE; values from VASP
&SYSTEM
  ibrav = 0, nat = 12, ntyp = 3
/
ATOMIC_SPECIES
Rb 85.47 Rb.upf
Ge 72.64 Ge.upf
N 14.01 N.upf
ATOMIC_POSITIONS angstrom
Rb 0.000 0.000 0.000
Rb 0.000 1.842 14.297
Rb 1.595 0.921 7.148
Ge 0.000 0.000 10.723
Ge 0.000 1.842 3.574
Ge 1.595 0.921 17.871
N 0.000 0.000 2.601
N 0.000 0.000 18.844
N 0.000 1.842 11.696
N 0.000 1.842 16.898
N 1.595 0.921 4.547
N 1.595 0.921 9.750
CELL_PARAMETERS angstrom
3.191 0.000 0.000
-1.595 2.763 0.000
0.000 0.000 21.445
! M_tot, μB per cell: 3.00
! SG: No. 166
! Final energy, Ry per atom: -0.348
! Crystal system: trigonal
! N(E_F), states/eV/cell: 4.0
! Volume, Å³ per cell: 189

---

No. 2
! Rb3GeN, relaxed, DFT PBE; values from VASP
&SYSTEM
  ibrav = 0, nat = 5, ntyp = 3
/
ATOMIC_SPECIES
Rb 85.47 Rb.upf
Ge 72.64 Ge.upf
N 14.01 N.upf
ATOMIC_POSITIONS angstrom
Rb 0.000 0.000 2.899
Rb 0.000 2.899 0.000
Rb 2.899 0.000 0.000
Ge 2.899 2.899 2.899
N 0.000 0.000 0.000
CELL_PARAMETERS angstrom
5.798 0.000 0.000
0.000 5.798 0.000
0.000 0.000 5.798
! M_tot, μB per cell: 4.00
! SG: No. 221
! Crystal system: cubic
! N(E_F), states/eV/cell: 1.8
! Energy above the most stable polymorph in this dataset, eV per atom: 0.000
! Volume, Å³ per cell: 195

---

No. 3
! RbGeN2, relaxed, DFT PBE; values from VASP
&SYSTEM
  ibrav = 0, nat = 16, ntyp = 3
/
ATOMIC_SPECIES
Rb 85.47 Rb.upf
Ge 72.64 Ge.upf
N 14.01 N.upf
ATOMIC_POSITIONS angstrom
Rb 0.000 0.000 0.000
Rb 0.000 2.909 2.063
Rb 2.909 0.000 6.188
Rb 2.909 2.909 4.126
Ge 0.000 0.000 4.126
Ge 0.000 2.909 6.188
Ge 2.909 0.000 2.063
Ge 2.909 2.909 0.000
N 0.518 4.364 5.157
N 1.455 0.518 3.094
N 1.455 2.391 7.220
N 2.391 4.364 1.031
N 3.428 1.455 1.031
N 4.364 3.428 7.220
N 4.364 5.300 3.094
N 5.300 1.455 5.157
CELL_PARAMETERS angstrom
5.819 0.000 0.000
0.000 5.819 0.000
0.000 0.000 8.251
! M_tot, μB per cell: 4.00
! SG: No. 122
! Final energy, Ry per atom: -0.388
! Crystal system: tetragonal
! N(E_F), states/eV/cell: 2.8
! Volume, Å³ per cell: 279

---

No. 4
! RbGeN2, relaxed, DFT PBE; values from VASP
&SYSTEM
  ibrav = 0, nat = 12, ntyp = 3
/
ATOMIC_SPECIES
Rb 85.47 Rb.upf
Ge 72.64 Ge.upf
N 14.01 N.upf
ATOMIC_POSITIONS angstrom
Rb 0.000 0.000 0.000
Rb 0.000 2.516 13.615
Rb 2.179 1.258 6.807
Ge 0.000 0.000 10.211
Ge 0.000 2.516 3.404
Ge 2.179 1.258 17.018
N 0.000 0.000 8.509
N 0.000 0.000 11.913
N 0.000 2.516 1.701
N 0.000 2.516 5.106
N 2.179 1.258 15.316
N 2.179 1.258 18.721
CELL_PARAMETERS angstrom
4.357 0.000 0.000
-2.179 3.773 0.000
0.000 0.000 20.422
! M_tot, μB per cell: 3.00
! SG: No. 166
! Final energy, Ry per atom: -0.346
! Crystal system: trigonal
! N(E_F), states/eV/cell: 15.7
! Volume, Å³ per cell: 336

---

No. 5
! RbGe2N, relaxed, DFT PBE; values from VASP
&SYSTEM
  ibrav = 0, nat = 16, ntyp = 3
/
ATOMIC_SPECIES
Rb 85.47 Rb.upf
Ge 72.64 Ge.upf
N 14.01 N.upf
ATOMIC_POSITIONS angstrom
Rb 0.000 0.000 0.000
Rb 0.000 3.245 2.460
Rb 3.245 0.000 7.380
Rb 3.245 3.245 4.920
Ge 0.608 1.623 6.150
Ge 1.623 3.853 8.610
Ge 1.623 5.883 3.690
Ge 2.637 1.623 1.230
Ge 3.853 4.868 1.230
Ge 4.868 0.608 3.690
Ge 4.868 2.637 8.610
Ge 5.883 4.868 6.150
N 0.000 0.000 4.920
N 0.000 3.245 7.380
N 3.245 0.000 2.460
N 3.245 3.245 0.000
CELL_PARAMETERS angstrom
6.491 0.000 0.000
0.000 6.491 0.000
0.000 0.000 9.840
! M_tot, μB per cell: 0.00
! SG: No. 122
! Final energy, Ry per atom: -0.296
! Crystal system: tetragonal
! N(E_F), states/eV/cell: 1.7
! Volume, Å³ per cell: 415

---

No. 6
! RbGeRhN2, relaxed, DFT PBE; values from VASP
&SYSTEM
  ibrav = 0, nat = 5, ntyp = 4
/
ATOMIC_SPECIES
Rb 85.47 Rb.upf
Ge 72.64 Ge.upf
Rh 102.91 Rh.upf
N 14.01 N.upf
ATOMIC_POSITIONS angstrom
Rb 0.000 0.000 0.000
Ge 2.075 2.075 2.436
Rh 2.075 2.075 0.000
N 0.000 2.075 2.436
N 2.075 0.000 2.436
CELL_PARAMETERS angstrom
4.150 0.000 0.000
0.000 4.150 0.000
0.000 0.000 4.871
! M_tot, μB per cell: 2.21
! SG: No. 123
! Final energy, Ry per atom: -0.339
! Crystal system: tetragonal
! N(E_F), states/eV/cell: 2.8
! Volume, Å³ per cell: 84

---

No. 7
! RbGeSeN2, relaxed, DFT PBE; values from VASP
&SYSTEM
  ibrav = 0, nat = 5, ntyp = 4
/
ATOMIC_SPECIES
Rb 85.47 Rb.upf
Ge 72.64 Ge.upf
Se 78.96 Se.upf
N 14.01 N.upf
ATOMIC_POSITIONS angstrom
Rb 0.000 0.000 0.000
Ge 2.165 2.165 2.588
Se 2.165 2.165 0.000
N 0.000 2.165 2.588
N 2.165 0.000 2.588
CELL_PARAMETERS angstrom
4.331 0.000 0.000
0.000 4.331 0.000
0.000 0.000 5.176
! M_tot, μB per cell: 3.26
! SG: No. 123
! Crystal system: tetragonal
! N(E_F), states/eV/cell: 2.0
! Energy above the most stable polymorph in this dataset, eV per atom: 0.000
! Volume, Å³ per cell: 97

---

No. 8
! RbGeSe2N, relaxed, DFT PBE; values from VASP
&SYSTEM
  ibrav = 0, nat = 5, ntyp = 4
/
ATOMIC_SPECIES
Rb 85.47 Rb.upf
Ge 72.64 Ge.upf
Se 78.96 Se.upf
N 14.01 N.upf
ATOMIC_POSITIONS angstrom
Rb 0.000 0.000 0.000
Ge 2.992 2.992 2.512
Se 0.000 2.992 0.000
Se 2.992 0.000 0.000
N 0.000 0.000 2.512
CELL_PARAMETERS angstrom
5.984 0.000 0.000
0.000 5.984 0.000
0.000 0.000 5.024
! M_tot, μB per cell: 4.01
! SG: No. 123
! Crystal system: tetragonal
! N(E_F), states/eV/cell: 3.1
! Energy above the most stable polymorph in this dataset, eV per atom: 1.392
! Volume, Å³ per cell: 180

---

No. 9
! RbGeSe2N, relaxed, DFT PBE; values from VASP
&SYSTEM
  ibrav = 0, nat = 5, ntyp = 4
/
ATOMIC_SPECIES
Rb 85.47 Rb.upf
Ge 72.64 Ge.upf
Se 78.96 Se.upf
N 14.01 N.upf
ATOMIC_POSITIONS angstrom
Rb 0.000 0.000 0.000
Ge 2.944 2.944 1.724
Se 0.000 2.944 1.724
Se 2.944 0.000 1.724
N 2.944 2.944 0.000
CELL_PARAMETERS angstrom
5.887 0.000 0.000
0.000 5.887 0.000
0.000 0.000 3.447
! M_tot, μB per cell: 0.00
! SG: No. 123
! Crystal system: tetragonal
! N(E_F), states/eV/cell: 3.2
! Energy above the most stable polymorph in this dataset, eV per atom: 0.000
! Volume, Å³ per cell: 119

---

No. 10
! RbGeSeN2, relaxed, DFT PBE; values from VASP
&SYSTEM
  ibrav = 0, nat = 5, ntyp = 4
/
ATOMIC_SPECIES
Rb 85.47 Rb.upf
Ge 72.64 Ge.upf
Se 78.96 Se.upf
N 14.01 N.upf
ATOMIC_POSITIONS angstrom
Rb 0.000 0.000 0.000
Ge 2.484 2.484 3.302
Se 0.000 0.000 3.302
N 0.000 2.484 0.000
N 2.484 0.000 0.000
CELL_PARAMETERS angstrom
4.969 0.000 0.000
0.000 4.969 0.000
0.000 0.000 6.604
! M_tot, μB per cell: 5.00
! SG: No. 123
! Crystal system: tetragonal
! N(E_F), states/eV/cell: 2.3
! Energy above the most stable polymorph in this dataset, eV per atom: 1.250
! Volume, Å³ per cell: 163

---

No. 11
! RbTcGeN2, relaxed, DFT PBE; values from VASP
&SYSTEM
  ibrav = 0, nat = 5, ntyp = 4
/
ATOMIC_SPECIES
Rb 85.47 Rb.upf
Tc 98.00 Tc.upf
Ge 72.64 Ge.upf
N 14.01 N.upf
ATOMIC_POSITIONS angstrom
Rb 0.000 0.000 0.000
Tc 2.135 2.135 0.000
Ge 2.135 2.135 2.461
N 0.000 2.135 2.461
N 2.135 0.000 2.461
CELL_PARAMETERS angstrom
4.269 0.000 0.000
0.000 4.269 0.000
0.000 0.000 4.922
! M_tot, μB per cell: 4.88
! SG: No. 123
! Final energy, Ry per atom: -0.348
! Crystal system: tetragonal
! N(E_F), states/eV/cell: 4.1
! Volume, Å³ per cell: 90

---

No. 12
! Rb2GeTeN, relaxed, DFT PBE; values from VASP
&SYSTEM
  ibrav = 0, nat = 5, ntyp = 4
/
ATOMIC_SPECIES
Rb 85.47 Rb.upf
Ge 72.64 Ge.upf
Te 127.60 Te.upf
N 14.01 N.upf
ATOMIC_POSITIONS angstrom
Rb 0.000 3.242 0.000
Rb 3.242 0.000 0.000
Ge 0.000 0.000 1.908
Te 3.242 3.242 1.908
N 0.000 0.000 0.000
CELL_PARAMETERS angstrom
6.483 0.000 0.000
0.000 6.483 0.000
0.000 0.000 3.816
! M_tot, μB per cell: 0.18
! SG: No. 123
! Final energy, Ry per atom: -0.273
! Crystal system: tetragonal
! N(E_F), states/eV/cell: 2.2
! Volume, Å³ per cell: 160

---

No. 13
! RbGeTe2N, relaxed, DFT PBE; values from VASP
&SYSTEM
  ibrav = 0, nat = 5, ntyp = 4
/
ATOMIC_SPECIES
Rb 85.47 Rb.upf
Ge 72.64 Ge.upf
Te 127.60 Te.upf
N 14.01 N.upf
ATOMIC_POSITIONS angstrom
Rb 0.000 0.000 0.000
Ge 3.142 3.142 1.753
Te 0.000 3.142 1.753
Te 3.142 0.000 1.753
N 3.142 3.142 0.000
CELL_PARAMETERS angstrom
6.284 0.000 0.000
0.000 6.284 0.000
0.000 0.000 3.506
! M_tot, μB per cell: 0.00
! SG: No. 123
! Crystal system: tetragonal
! N(E_F), states/eV/cell: 3.9
! Energy above the most stable polymorph in this dataset, eV per atom: 0.000
! Volume, Å³ per cell: 138